# 1
PbSeO2, optimized geometry, DFT PBEsol; SG = R-3m; formation energy (no corrections) = -0.2807 eV per atom
1.0
-1.2698 1.0711 2.9027
-3.2661 -0.3520 0.6278
-0.3029 -5.9572 3.9924
Pb O Se
1 2 1
direct
0.0000 0.0000 0.0000
0.8802 0.8802 0.3595
0.1198 0.1198 0.6405
0.5000 0.5000 0.5000

=====

# 2
PbSe2O6, optimized geometry, DFT PBEsol; SG = P2_1/c; formation energy (no corrections) = -0.7762 eV per atom
1.0
4.8758 -0.0640 0.0000
-2.4562 6.7752 0.0000
0.0000 0.0000 8.8357
O Pb Se
12 2 4
direct
0.0655 0.2799 0.3484
0.4345 0.2201 0.8484
0.9345 0.7201 0.6516
0.5655 0.7799 0.1516
0.6370 0.2335 0.5648
0.8630 0.2665 0.0648
0.3630 0.7665 0.4352
0.1370 0.7335 0.9352
0.2831 0.4272 0.6624
0.2169 0.0728 0.1624
0.7169 0.5728 0.3376
0.7831 0.9272 0.8376
0.0000 0.5000 0.5000
0.5000 0.0000 0.0000
0.1832 0.3049 0.1621
0.3168 0.1951 0.6621
0.8168 0.6951 0.8379
0.6832 0.8049 0.3379

=====

# 3
Pb2SeO, optimized geometry, DFT PBEsol; SG = Fm-3m; formation energy (no corrections) = -0.2778 eV per atom
1.0
4.9119 0.0000 0.0000
2.4560 4.2539 0.0000
2.4560 1.4180 4.0106
Pb O Se
2 1 1
direct
0.2500 0.2500 0.2500
0.7500 0.7500 0.7500
0.0000 0.0000 0.0000
0.5000 0.5000 0.5000